(1)
## AlCr2Os (GGA-PBE)

Data for AlCr2Os after structural relaxation.

Properties
- Calculated volume: 53 Å³/cell
- Total moment: 2.56 μB/f.u.
- Crystal system: tetragonal
- Calculated formation energy: 0.03 eV per atom
- Raw total energy: -8.521 eV per atom

Geometry as CIF:
```
data_AlCr2Os
_chemical_formula_sum 'Al1 Cr2 Os1'
_cell_length_a 4.2042
_cell_length_b 4.2042
_cell_length_c 2.9808
_cell_angle_alpha 90.00
_cell_angle_beta 90.00
_cell_angle_gamma 90.00
_symmetry_space_group_name_H-M 'P 4/m m m'
_symmetry_Int_Tables_number 123
_symmetry_space_group_name_Hall '-P 4 2'
loop_
_atom_site_label
_atom_site_fract_x
_atom_site_fract_y
_atom_site_fract_z
Al1 0.0000 0.0000 0.0000
Cr1 0.0000 0.5000 0.5000
Os1 0.5000 0.5000 0.0000
```

***

(2)
## CaDy4Pb4 (GGA-PBE)

Data for CaDy4Pb4 after structural relaxation.

Properties
- Calculated volume: 639 Å³/cell
- Total moment: 0.00 μB/f.u.
- Crystal system: tetragonal
- Calculated formation energy: -0.28 eV per atom
- Raw total energy: -4.200 eV per atom

Geometry as CIF:
```
data_CaDy4Pb4
_chemical_formula_sum 'Ca2 Dy8 Pb8'
_cell_length_a 10.1416
_cell_length_b 10.1416
_cell_length_c 6.2150
_cell_angle_alpha 90.00
_cell_angle_beta 90.00
_cell_angle_gamma 90.00
_symmetry_space_group_name_H-M 'P 42/n'
_symmetry_Int_Tables_number 86
loop_
_symmetry_equiv_pos_as_xyz
'x,y,z'
'-x,-y,-z'
'-y,x+1/2,z+1/2'
'y,-x+1/2,-z+1/2'
'-x+1/2,-y+1/2,z'
'x+1/2,y+1/2,-z'
'y+1/2,-x,z+1/2'
'-y+1/2,x,-z+1/2'
loop_
_atom_site_label
_atom_site_fract_x
_atom_site_fract_y
_atom_site_fract_z
Ca1 0.2500 0.2500 0.2500
Dy1 0.1051 0.6416 0.1504
Pb1 0.0439 0.6066 0.6646
```

***

(3)
## LaNd3Fe (GGA-PBE)

Data for LaNd3Fe after structural relaxation.

Properties
- Calculated volume: 162 Å³/cell
- Total moment: 0.81 μB/f.u.
- Crystal system: cubic
- Calculated formation energy: 0.20 eV per atom
- Raw total energy: -5.343 eV per atom

Geometry as CIF:
```
data_LaNd3Fe
_chemical_formula_sum 'La1 Nd3 Fe1'
_cell_length_a 5.4528
_cell_length_b 5.4528
_cell_length_c 5.4528
_cell_angle_alpha 90.00
_cell_angle_beta 90.00
_cell_angle_gamma 90.00
_symmetry_space_group_name_H-M 'P m -3 m'
_symmetry_Int_Tables_number 221
_symmetry_space_group_name_Hall '-P 4 2 3'
loop_
_atom_site_label
_atom_site_fract_x
_atom_site_fract_y
_atom_site_fract_z
La1 0.0000 0.0000 0.0000
Nd1 0.0000 0.5000 0.5000
Fe1 0.5000 0.5000 0.5000
```

***

(4)
## LiEr2MgTe4 (GGA-PBE)

Data for LiEr2MgTe4 after structural relaxation.

Properties
- Calculated volume: 223 Å³/cell
- Energy relative to the elements, uncorrected: -1139 meV/atom
- Total moment: 0.00 μB/f.u.
- Crystal system: monoclinic
- Raw total energy: -4.290 eV per atom

Geometry as CIF:
```
data_LiEr2MgTe4
_chemical_formula_sum 'Li1 Er2 Mg1 Te4'
_cell_length_a 7.3383
_cell_length_b 4.2422
_cell_length_c 7.5660
_cell_angle_alpha 90.00
_cell_angle_beta 108.70
_cell_angle_gamma 90.00
_symmetry_space_group_name_H-M 'P 1 2/m 1'
_symmetry_Int_Tables_number 10
loop_
_symmetry_equiv_pos_as_xyz
'x,y,z'
'-x,-y,-z'
'-x,y,-z'
'x,-y,z'
loop_
_atom_site_label
_atom_site_fract_x
_atom_site_fract_y
_atom_site_fract_z
Li1 0.0000 0.0000 0.0000
Er1 0.0000 0.5000 0.5000
Er2 0.5000 0.0000 0.5000
Mg1 0.5000 0.5000 0.0000
Te1 0.2489 0.5000 0.2416
Te2 0.2536 0.0000 0.7604
```

***

(5)
## Ca3SiP (GGA-PBE)

Data for Ca3SiP after structural relaxation.

Properties
- Calculated volume: 154 Å³/cell
- Energy relative to the elements, uncorrected: -449 meV/atom
- Energy above the most stable polymorph in this dataset: 0.000 eV per atom
- Total moment: 0.66 μB/f.u.
- Crystal system: cubic
- Raw total energy: -3.816 eV per atom

Geometry as CIF:
```
data_Ca3SiP
_chemical_formula_sum 'Ca3 Si1 P1'
_cell_length_a 5.3650
_cell_length_b 5.3650
_cell_length_c 5.3650
_cell_angle_alpha 90.00
_cell_angle_beta 90.00
_cell_angle_gamma 90.00
_symmetry_space_group_name_H-M 'P m -3 m'
_symmetry_Int_Tables_number 221
_symmetry_space_group_name_Hall '-P 4 2 3'
loop_
_atom_site_label
_atom_site_fract_x
_atom_site_fract_y
_atom_site_fract_z
Ca1 0.0000 0.0000 0.5000
Si1 0.5000 0.5000 0.5000
P1 0.0000 0.0000 0.0000
```

***

(6)
## DyYNiRu (GGA-PBE)

Data for DyYNiRu after structural relaxation.

Properties
- Calculated volume: 314 Å³/cell
- Total moment: 0.00 μB/f.u.
- Crystal system: cubic
- Calculated formation energy: -0.38 eV per atom
- Raw total energy: -6.907 eV per atom

Geometry as CIF:
```
data_DyYNiRu
_chemical_formula_sum 'Dy4 Y4 Ni4 Ru4'
_cell_length_a 6.7960
_cell_length_b 6.7960
_cell_length_c 6.7960
_cell_angle_alpha 90.00
_cell_angle_beta 90.00
_cell_angle_gamma 90.00
_symmetry_space_group_name_H-M 'F -4 3 m'
_symmetry_Int_Tables_number 216
_symmetry_space_group_name_Hall 'F -4 2 3'
loop_
_atom_site_label
_atom_site_fract_x
_atom_site_fract_y
_atom_site_fract_z
Dy1 0.0000 0.0000 0.0000
Y1 0.0000 0.0000 0.5000
Ni1 0.2500 0.2500 0.2500
Ru1 0.2500 0.2500 0.7500
```

***

(7)
## Sr2Ga3Ni5 (GGA-PBE)

Data for Sr2Ga3Ni5 after structural relaxation.

Properties
- Calculated volume: 699 Å³/cell
- Total moment: 0.00 μB/f.u.
- Crystal system: orthorhombic
- Calculated formation energy: -0.28 eV per atom
- Raw total energy: -4.419 eV per atom

Geometry as CIF:
```
data_Sr2Ga3Ni5
_chemical_formula_sum 'Sr8 Ga12 Ni20'
_cell_length_a 9.9606
_cell_length_b 11.9042
_cell_length_c 5.8966
_cell_angle_alpha 90.00
_cell_angle_beta 90.00
_cell_angle_gamma 90.00
_symmetry_space_group_name_H-M 'I b a m'
_symmetry_Int_Tables_number 72
_symmetry_space_group_name_Hall '-I 2 2c'
loop_
_atom_site_label
_atom_site_fract_x
_atom_site_fract_y
_atom_site_fract_z
Sr1 0.2391 0.1269 0.0000
Ga1 0.0000 0.5000 0.2500
Ga2 0.1063 0.1340 0.5000
Ni1 0.0000 0.0000 0.2500
Ni2 0.0000 0.2737 0.2500
Ni3 0.1422 0.3825 0.0000
```

***

(8)
## TmMgAg4 (GGA-PBE)

Data for TmMgAg4 after structural relaxation.

Properties
- Calculated volume: 236 Å³/cell
- Energy above the most stable polymorph in this dataset: 0.000 eV per atom
- Total moment: 0.00 μB/f.u.
- Crystal system: monoclinic
- Calculated formation energy: -0.22 eV per atom
- Raw total energy: -3.137 eV per atom

Geometry as CIF:
```
data_TmMgAg4
_chemical_formula_sum 'Tm2 Mg2 Ag8'
_cell_length_a 5.0825
_cell_length_b 9.1637
_cell_length_c 5.0631
_cell_angle_alpha 90.00
_cell_angle_beta 90.09
_cell_angle_gamma 90.00
_symmetry_space_group_name_H-M 'C 1 m 1'
_symmetry_Int_Tables_number 8
loop_
_symmetry_equiv_pos_as_xyz
'x,y,z'
'x,-y,z'
'x+1/2,y+1/2,z'
'x+1/2,-y+1/2,z'
loop_
_atom_site_label
_atom_site_fract_x
_atom_site_fract_y
_atom_site_fract_z
Tm1 0.0000 0.0000 0.0000
Mg1 0.0040 0.5000 0.4996
Ag1 0.0055 0.1717 0.5000
Ag2 0.4994 0.1649 0.9999
```

***

(9)
## ZnTc3I (GGA-PBE)

Data for ZnTc3I after structural relaxation.

Properties
- Calculated volume: 99 Å³/cell
- Energy relative to the elements, uncorrected: 1865 meV/atom
- Energy above the most stable polymorph in this dataset: 0.000 eV per atom
- Total moment: 2.46 μB/f.u.
- Crystal system: cubic
- Raw total energy: -4.920 eV per atom

Geometry as CIF:
```
data_ZnTc3I
_chemical_formula_sum 'Zn1 Tc3 I1'
_cell_length_a 4.6275
_cell_length_b 4.6275
_cell_length_c 4.6275
_cell_angle_alpha 90.00
_cell_angle_beta 90.00
_cell_angle_gamma 90.00
_symmetry_space_group_name_H-M 'P m -3 m'
_symmetry_Int_Tables_number 221
_symmetry_space_group_name_Hall '-P 4 2 3'
loop_
_atom_site_label
_atom_site_fract_x
_atom_site_fract_y
_atom_site_fract_z
Zn1 0.0000 0.0000 0.0000
Tc1 0.0000 0.0000 0.5000
I1 0.5000 0.5000 0.5000
```

***

(10)
## TiCo2ReP (GGA-PBE)

Data for TiCo2ReP after structural relaxation.

Properties
- Calculated volume: 72 Å³/cell
- Total moment: 2.04 μB/f.u.
- Crystal system: tetragonal
- Calculated formation energy: 0.43 eV per atom
- Raw total energy: -7.566 eV per atom

Geometry as CIF:
```
data_TiCo2ReP
_chemical_formula_sum 'Ti1 Co2 Re1 P1'
_cell_length_a 4.0247
_cell_length_b 4.0247
_cell_length_c 4.4721
_cell_angle_alpha 90.00
_cell_angle_beta 90.00
_cell_angle_gamma 90.00
_symmetry_space_group_name_H-M 'P 4/m m m'
_symmetry_Int_Tables_number 123
_symmetry_space_group_name_Hall '-P 4 2'
loop_
_atom_site_label
_atom_site_fract_x
_atom_site_fract_y
_atom_site_fract_z
Ti1 0.0000 0.0000 0.0000
Co1 0.0000 0.5000 0.5000
Re1 0.5000 0.5000 0.0000
P1 0.0000 0.0000 0.5000
```

***

(11)
## Tb4Pr (GGA-PBE)

Data for Tb4Pr after structural relaxation.

Properties
- Calculated volume: 183 Å³/cell
- Energy above the most stable polymorph in this dataset: 0.651 eV per atom
- Total moment: 0.00 μB/f.u.
- Crystal system: cubic
- Calculated formation energy: 0.67 eV per atom
- Raw total energy: -3.994 eV per atom

Geometry as CIF:
```
data_Tb4Pr
_chemical_formula_sum 'Tb4 Pr1'
_cell_length_a 5.6823
_cell_length_b 5.6823
_cell_length_c 5.6823
_cell_angle_alpha 90.00
_cell_angle_beta 90.00
_cell_angle_gamma 90.00
_symmetry_space_group_name_H-M 'P m -3 m'
_symmetry_Int_Tables_number 221
_symmetry_space_group_name_Hall '-P 4 2 3'
loop_
_atom_site_label
_atom_site_fract_x
_atom_site_fract_y
_atom_site_fract_z
Tb1 0.0000 0.0000 0.0000
Tb2 0.0000 0.5000 0.5000
Pr1 0.5000 0.5000 0.5000
```

***

(12)
## Ac2Dy2Y7 (GGA-PBE)

Data for Ac2Dy2Y7 after structural relaxation.

Properties
- Calculated volume: 773 Å³/cell
- Energy above the most stable polymorph in this dataset: 0.000 eV per atom
- Total moment: 0.00 μB/f.u.
- Crystal system: monoclinic
- Calculated formation energy: 0.13 eV per atom
- Raw total energy: -5.570 eV per atom

Geometry as CIF:
```
data_Ac2Dy2Y7
_chemical_formula_sum 'Ac4 Dy4 Y14'
_cell_length_a 17.7063
_cell_length_b 11.9670
_cell_length_c 3.7326
_cell_angle_alpha 90.00
_cell_angle_beta 102.13
_cell_angle_gamma 90.00
_symmetry_space_group_name_H-M 'C 1 2/m 1'
_symmetry_Int_Tables_number 12
loop_
_symmetry_equiv_pos_as_xyz
'x,y,z'
'-x,-y,-z'
'-x,y,-z'
'x,-y,z'
'x+1/2,y+1/2,z'
'-x+1/2,-y+1/2,-z'
'-x+1/2,y+1/2,-z'
'x+1/2,-y+1/2,z'
loop_
_atom_site_label
_atom_site_fract_x
_atom_site_fract_y
_atom_site_fract_z
Ac1 0.1936 0.0000 0.1928
Dy1 0.0000 0.2442 0.0000
Y1 0.0000 0.0000 0.5000
Y2 0.1072 0.5000 0.1087
Y3 0.1660 0.2665 0.6660
```